# FeSi2IO, relaxed, DFT GGA+U
# V: 31.24 Å³ per atom
# Density of states at the Fermi level: 6.00 states/eV/cell
# E: -2.4314 eV per atom
data_FeSi2IO
_cell_length_a 5.424
_cell_length_b 5.424
_cell_length_c 5.309
_cell_angle_alpha 90.00
_cell_angle_beta 90.00
_cell_angle_gamma 90.00
_space_group_name_H-M_alt 'P 4/m m m'
_space_group_IT_number 123
_space_group_name_Hall '-P 4 2'
loop_
_atom_site_label
_atom_site_type_symbol
_atom_site_fract_x
_atom_site_fract_y
_atom_site_fract_z
Fe1 Fe 0.000 0.000 0.000
Si1 Si 0.000 0.500 0.500
I1 I 0.000 0.000 0.500
O1 O 0.500 0.500 0.000